First-principles (GGA-PBE) data for a relaxed Ba2TbS3 crystal, as listed in Alexandria via LeMat-Bulk.

Cell: 9.012 9.012 9.012 Å, 152.50 146.21 44.11°
Fractional coordinates of all 6 atoms:
Ba 0.150 0.150 0.000
Ba 0.850 0.850 0.000
Tb 0.500 0.500 0.000
S 0.000 0.500 0.500
S 0.338 0.338 0.000
S 0.662 0.662 0.000

Values from the calculation:
* E: -32.270 eV per formula unit
* mass density: 4.69 Mg/m³
* uncorrected formation energy: -1.90 eV per atom
* spin magnetization: 0.00 μB/atom
* N(E_F): 1.31 states/eV/f.u.